(1)
The following is a GGA-PBE calculation of a relaxed structure of Er2CuBi, from Alexandria via LeMat-Bulk.

As for the magnetization: 0.0 μB per formula unit. The value obtained for the energy of formation from the pure elements is 0.12 eV/f.u. The distance to the lowest polymorph of the same formula comes out at 0.483 eV per atom. The total DFT energy (no corrections) comes out at -16.99 eV for the cell shown.

Lattice parameters (Å, degrees): 3.7849 3.7849 9.8583 78.93 78.93 60.00
Sites, in units of the cell vectors:
Bi 0.0000 0.0000 0.0000
Er 0.8917 0.8917 0.3249
Er 0.1083 0.1083 0.6751
Cu 0.5000 0.5000 0.5000

(2)
The following is a GGA-PBE calculation of a relaxed structure of Er4CuBi, from Alexandria via LeMat-Bulk.

As for the magnetization: 0.0 μB per formula unit. The value obtained for the energy of formation from the pure elements is -1.98 eV/f.u. The distance to the lowest polymorph of the same formula comes out at 0.000 eV per atom. The total DFT energy (no corrections) comes out at -112.82 eV for the cell shown.

Lattice parameters (Å, degrees): 9.7328 9.7328 9.7328 60.00 60.00 60.00
Sites, in units of the cell vectors:
Er 0.5632 0.9368 0.9368
Er 0.9479 0.3507 0.3507
Er 0.8153 0.8153 0.1847
Er 0.5632 0.5632 0.9368
Bi 0.5930 0.2209 0.5930
Er 0.1847 0.8153 0.8153
Er 0.9368 0.5632 0.9368
Bi 0.2209 0.5930 0.5930
Bi 0.5930 0.5930 0.5930
Er 0.8153 0.1847 0.1847
Er 0.3507 0.3507 0.3507
Er 0.3507 0.9479 0.3507
Er 0.5632 0.9368 0.5632
Er 0.8153 0.1847 0.8153
Cu 0.5693 0.1436 0.1436
Bi 0.5930 0.5930 0.2209
Cu 0.1436 0.1436 0.5693
Cu 0.1436 0.5693 0.1436
Er 0.3507 0.3507 0.9479
Er 0.9368 0.5632 0.5632
Er 0.9368 0.9368 0.5632
Er 0.1847 0.8153 0.1847
Er 0.1847 0.1847 0.8153
Cu 0.1436 0.1436 0.1436

(3)
The following is a GGA-PBE calculation of a relaxed structure of Er4CuBi, from Alexandria via LeMat-Bulk.

As for the magnetization: 0.0 μB per formula unit. The value obtained for the energy of formation from the pure elements is -1.11 eV/f.u. The distance to the lowest polymorph of the same formula comes out at 0.144 eV per atom. The total DFT energy (no corrections) comes out at -54.68 eV for the cell shown.

Lattice parameters (Å, degrees): 5.4117 6.3730 10.2799 90.00 105.26 90.00
Sites, in units of the cell vectors:
Bi 0.1472 0.3220 0.2944
Er 0.1074 0.8220 0.2149
Er 0.8926 0.3220 0.7851
Cu 0.5849 0.8230 0.1698
Er 0.7004 0.0727 0.4009
Er 0.4513 0.8221 0.9026
Er 0.2996 0.5727 0.5991
Er 0.5487 0.3221 0.0974
Bi 0.8528 0.8220 0.7056
Er 0.7004 0.5717 0.4007
Er 0.2996 0.0717 0.5993
Cu 0.4151 0.3230 0.8302